The following is a DFT calculation (PBE) of an optimized crystal structure of DyBiNO.

Cell: 4.9161 7.6522 7.8530 Å, 90.00 90.00 90.00°
Last column: nearest neighbours and their distance in Å.
Fractional coordinates of all 16 atoms:
O1 0.0646 0.9889 0.6256  1 Dy 2.18, 1 Bi 2.40
O2 0.5646 0.0111 0.3744  1 Dy 2.18, 1 Bi 2.40
O3 0.5646 0.5111 0.6256  1 Dy 2.18, 1 Bi 2.40
O4 0.0646 0.4889 0.3744  1 Dy 2.18, 1 Bi 2.40
Bi1 0.5412 0.9015 0.6607  1 N 2.31, 2 O 2.40-2.45
Bi2 0.0412 0.0985 0.3393  1 N 2.31, 2 O 2.40-2.45
Bi3 0.5412 0.4015 0.3393  1 N 2.31, 2 O 2.40-2.45
Bi4 0.0412 0.5985 0.6607  1 N 2.31, 2 O 2.40-2.45
N1 0.0493 0.4036 0.8855  1 Bi 2.31, 4 Dy 2.33-2.47
N2 0.5493 0.5964 0.1145  1 Bi 2.31, 4 Dy 2.33-2.47
N3 0.0493 0.9036 0.1145  1 Bi 2.31, 4 Dy 2.33-2.47
N4 0.5493 0.0964 0.8855  1 Bi 2.31, 4 Dy 2.33-2.47
Dy1 0.0473 0.5990 0.1184  1 O 2.18, 2 N 2.33-2.36
Dy2 0.5473 0.4010 0.8816  1 O 2.18, 2 N 2.33-2.36
Dy3 0.5473 0.9010 0.1184  1 O 2.18, 2 N 2.33-2.36
Dy4 0.0473 0.0990 0.8816  1 O 2.18, 2 N 2.33-2.36

Values from the calculation:
* M_tot: 0.0 μB/f.u.
* polymorph energy (0 for the lowest one): 0.184 eV per atom